Entry 1:
Here is a relaxed structure of Tm5Sb4Pb from Alexandria. Energies are from GGA-PBE.

Summary:
- Total magnetic moment: 0.0 μB per formula unit
- Uncorrected formation energy: -0.903 eV per atom

Lattice parameters (Å, degrees): 4.313 7.570 9.737 75.39 77.20 73.45
Positions (direct):
Tm 0.000 0.500 0.500
Tm 0.201 0.902 0.696
Tm 0.799 0.098 0.304
Tm 0.397 0.309 0.897
Tm 0.603 0.691 0.103
Pb 0.000 0.000 0.000
Sb 0.201 0.397 0.201
Sb 0.600 0.201 0.600
Sb 0.799 0.603 0.799
Sb 0.400 0.799 0.400

---

Entry 2:
Here is a relaxed structure of YNbCl3 from Alexandria. Energies are from GGA-PBE.

Summary:
- Total magnetic moment: 5.0 μB per formula unit
- Polymorph energy (0 for the lowest one): 0 meV per atom
- Uncorrected formation energy: -0.475 eV per atom

Lattice parameters (Å, degrees): 5.287 5.287 5.287 90.00 90.00 90.00
Site moments in Bohr magnetons follow the coordinates.
Positions (direct):
Cl 0.500 0.000 0.000  0.02
Cl 0.000 0.500 0.000  0.03
Cl 0.000 0.000 0.500  0.02
Nb 0.500 0.500 0.500  3.29
Y 0.000 0.000 0.000  0.14